[1]
Density functional theory data (PBE-GGA) for Sr3BiCl3O3 after structural relaxation.

CIF file:
```
data_Sr3BiCl3O3
_cell_length_a 6.7650
_cell_length_b 11.5426
_cell_length_c 12.0546
_cell_angle_alpha 90.00
_cell_angle_beta 90.00
_cell_angle_gamma 90.00
_space_group_name_H-M_alt 'P 1'
_space_group_IT_number 1
loop_
_space_group_symop_operation_xyz
'x,y,z'
loop_
_atom_site_label
_atom_site_fract_x
_atom_site_fract_y
_atom_site_fract_z
Sr1 0.1535 0.2500 0.0343
Sr2 0.1634 0.0696 0.3875
Sr3 0.1634 0.4304 0.3875
Sr4 0.3366 0.5696 0.8875
Sr5 0.3366 0.9304 0.8875
Sr6 0.3465 0.7500 0.5343
Sr7 0.6535 0.2500 0.4657
Sr8 0.6634 0.0696 0.1125
Sr9 0.6634 0.4304 0.1125
Sr10 0.8366 0.5696 0.6125
Sr11 0.8366 0.9304 0.6125
Sr12 0.8465 0.7500 0.9657
Bi1 0.0989 0.2500 0.6212
Bi2 0.4011 0.7500 0.1212
Bi3 0.5989 0.2500 0.8788
Bi4 0.9011 0.7500 0.3788
Cl1 0.0884 0.5094 0.1473
Cl2 0.0883 0.7500 0.7283
Cl3 0.0884 0.9906 0.1473
Cl4 0.4116 0.0094 0.6473
Cl5 0.4117 0.2500 0.2283
Cl6 0.4116 0.4906 0.6473
Cl7 0.5884 0.5094 0.3527
Cl8 0.5883 0.7500 0.7717
Cl9 0.5884 0.9906 0.3527
Cl10 0.9116 0.0094 0.8527
Cl11 0.9117 0.2500 0.2717
Cl12 0.9116 0.4906 0.8527
O1 0.0803 0.6223 0.4554
O2 0.0803 0.8777 0.4554
O3 0.2063 0.7500 0.9850
O4 0.2937 0.2500 0.4850
O5 0.4197 0.1223 0.9554
O6 0.4197 0.3777 0.9554
O7 0.5803 0.6223 0.0446
O8 0.5803 0.8777 0.0446
O9 0.7063 0.7500 0.5150
O10 0.7937 0.2500 0.0150
O11 0.9197 0.1223 0.5446
O12 0.9197 0.3777 0.5446
```

Formation energy (no corrections): -227 kJ per mole of atoms
Density of states at the Fermi level: 0.000 states/eV per atom



[2]
Density functional theory data (PBE-GGA) for TaBi4ClO8 after structural relaxation.

CIF file:
```
data_TaBi4ClO8
_cell_length_a 3.9068
_cell_length_b 3.9068
_cell_length_c 14.3145
_cell_angle_alpha 90.00
_cell_angle_beta 90.00
_cell_angle_gamma 90.00
_space_group_name_H-M_alt 'P 1'
_space_group_IT_number 1
loop_
_space_group_symop_operation_xyz
'x,y,z'
loop_
_atom_site_label
_atom_site_fract_x
_atom_site_fract_y
_atom_site_fract_z
Ta1 0.0000 0.0000 0.0000
Bi1 0.0000 0.0000 0.3591
Bi2 0.0000 0.0000 0.6409
Bi3 0.5000 0.5000 0.1823
Bi4 0.5000 0.5000 0.8177
Cl1 0.5000 0.5000 0.5000
O1 0.0000 0.0000 0.1411
O2 0.0000 0.0000 0.8589
O3 0.0000 0.5000 0.0000
O4 0.0000 0.5000 0.2828
O5 0.0000 0.5000 0.7172
O6 0.5000 0.0000 0.0000
O7 0.5000 0.0000 0.2828
O8 0.5000 0.0000 0.7172
```

ΔE to the lowest computed polymorph: 0.070 eV per atom
Formation energy (no corrections): -156 kJ per mole of atoms



[3]
Density functional theory data (PBE-GGA) for TaBi4ClO8 after structural relaxation.

CIF file:
```
data_TaBi4ClO8
_cell_length_a 5.5252
_cell_length_b 5.5844
_cell_length_c 29.4511
_cell_angle_alpha 90.00
_cell_angle_beta 90.00
_cell_angle_gamma 90.00
_space_group_name_H-M_alt 'P 1'
_space_group_IT_number 1
loop_
_space_group_symop_operation_xyz
'x,y,z'
loop_
_atom_site_label
_atom_site_fract_x
_atom_site_fract_y
_atom_site_fract_z
Ta1 0.0000 0.0212 0.2500
Ta2 0.0000 0.9788 0.7500
Ta3 0.5000 0.4788 0.7500
Ta4 0.5000 0.5212 0.2500
Bi1 0.0100 0.0144 0.5683
Bi2 0.0100 0.9856 0.0683
Bi3 0.0234 0.4444 0.3433
Bi4 0.0234 0.5556 0.8433
Bi5 0.4766 0.0556 0.8433
Bi6 0.4766 0.9444 0.3433
Bi7 0.4900 0.4856 0.0683
Bi8 0.4900 0.5144 0.5683
Bi9 0.5100 0.4856 0.4317
Bi10 0.5100 0.5144 0.9317
Bi11 0.5234 0.0556 0.6567
Bi12 0.5234 0.9444 0.1567
Bi13 0.9766 0.4444 0.1567
Bi14 0.9766 0.5556 0.6567
Bi15 0.9900 0.0144 0.9317
Bi16 0.9900 0.9856 0.4317
Cl1 0.0000 0.5000 0.0000
Cl2 0.0000 0.5000 0.5000
Cl3 0.5000 0.0000 0.0000
Cl4 0.5000 0.0000 0.5000
O1 0.0992 0.0701 0.3148
O2 0.0992 0.9299 0.8148
O3 0.2441 0.2395 0.1063
O4 0.2441 0.7605 0.6063
O5 0.2474 0.2550 0.8947
O6 0.2472 0.3002 0.2351
O7 0.2472 0.6998 0.7351
O8 0.2474 0.7450 0.3947
O9 0.2528 0.1998 0.7351
O10 0.2526 0.2450 0.3947
O11 0.2526 0.7550 0.8947
O12 0.2528 0.8002 0.2351
O13 0.2559 0.2605 0.6063
O14 0.2559 0.7395 0.1063
O15 0.4008 0.4299 0.8148
O16 0.4008 0.5701 0.3148
O17 0.5992 0.4299 0.6852
O18 0.5992 0.5701 0.1852
O19 0.7441 0.2605 0.8937
O20 0.7441 0.7395 0.3937
O21 0.7472 0.1998 0.7649
O22 0.7474 0.2450 0.1053
O23 0.7474 0.7550 0.6053
O24 0.7472 0.8002 0.2649
O25 0.7526 0.2550 0.6053
O26 0.7528 0.3002 0.2649
O27 0.7528 0.6998 0.7649
O28 0.7526 0.7450 0.1053
O29 0.7559 0.2395 0.3937
O30 0.7559 0.7605 0.8937
O31 0.9008 0.0701 0.1852
O32 0.9008 0.9299 0.6852
```

ΔE to the lowest computed polymorph: 0.000 eV per atom
Formation energy (no corrections): -163 kJ per mole of atoms



[4]
Density functional theory data (PBE-GGA) for TcBiClO4 after structural relaxation.

CIF file:
```
data_TcBiClO4
_cell_length_a 6.4674
_cell_length_b 6.4674
_cell_length_c 7.0741
_cell_angle_alpha 102.34
_cell_angle_beta 102.34
_cell_angle_gamma 68.33
_space_group_name_H-M_alt 'P 1'
_space_group_IT_number 1
loop_
_space_group_symop_operation_xyz
'x,y,z'
loop_
_atom_site_label
_atom_site_fract_x
_atom_site_fract_y
_atom_site_fract_z
Tc1 0.1350 0.1350 0.2822
Tc2 0.8650 0.8650 0.7178
Bi1 0.2874 0.2874 0.9090
Bi2 0.7126 0.7126 0.0910
Cl1 0.4825 0.4825 0.2310
Cl2 0.5175 0.5175 0.7690
O1 0.0140 0.3696 0.1377
O2 0.0323 0.0323 0.7630
O3 0.2259 0.2259 0.5244
O4 0.3696 0.0140 0.1377
O5 0.6304 0.9860 0.8623
O6 0.7741 0.7741 0.4756
O7 0.9677 0.9677 0.2370
O8 0.9860 0.6304 0.8623
```

Formation energy (no corrections): -119 kJ per mole of atoms
Density of states at the Fermi level: 0.393 states/eV per atom